This record from OQMD via LeMat-Bulk describes crystalline Cs2AsAuS4 at its relaxed geometry. The functional is PBE.

abc: 6.9206 7.3311 11.6173
angles: 107.10 96.10 108.85
Atoms (fractional coordinates):
Au: 0.6207 0.7745 0.8901
Au: 0.3793 0.2255 0.1099
S: 0.7437 0.1357 0.3934
S: 0.7945 0.7733 0.7271
S: 0.2453 0.7114 0.8791
S: 0.2055 0.2267 0.2729
S: 0.2707 0.2222 0.8938
S: 0.7293 0.7778 0.1062
S: 0.7547 0.2886 0.1209
S: 0.2563 0.8643 0.6066
Cs: 0.7459 0.6439 0.4052
Cs: 0.7622 0.2738 0.8142
Cs: 0.2541 0.3561 0.5948
Cs: 0.2378 0.7262 0.1858
As: 0.1491 0.8938 0.7785
As: 0.8509 0.1062 0.2215

E_tot, eV/atom: -3.880
V, A^3/atom: 32.49